No. 1
# Ag8PtAu3

An optimized crystal structure of Ag8PtAu3 (PBE-GGA, Alexandria via LeMat-Bulk).

The value obtained for the calculated formation energy is 0.39 eV/atom. As for the total magnetization: 0.00 μB/atom. The density of states at the Fermi level is 5.7 states/eV per cell. Its total energy is -33.99 eV per formula unit.

The space group is I-42m (No. 121) and the conventional cell measures 7.407, 7.407 and 9.733 Å, with angles of 90.00, 90.00 and 90.00 degrees. Symmetry generates all atoms from Ag at (0.135, 0.135, 0.241), Ag at (0.248, 0.248, 0.987), Pt at (0.000, 0.000, 0.000), Au at (0.000, 0.000, 0.500) and Au at (0.000, 0.500, 0.250).


No. 2
# AgPtAu2

An optimized crystal structure of AgPtAu2 (PBE-GGA, Alexandria via LeMat-Bulk).

The value obtained for the calculated formation energy is 0.01 eV/atom. As for the total magnetization: 0.00 μB/atom. The density of states at the Fermi level is 0.9 states/eV per cell. Its total energy is -15.41 eV per formula unit.

The space group is P4mm (No. 99) and the conventional cell measures 2.868, 2.868 and 8.406 Å, with angles of 90.00, 90.00 and 90.00 degrees. Symmetry generates all atoms from Ag at (0.000, 0.000, 0.000), Pt at (0.500, 0.500, 0.757), Au at (0.000, 0.000, 0.513) and Au at (0.500, 0.500, 0.255).


No. 3
# Ag12PtAu3

An optimized crystal structure of Ag12PtAu3 (PBE-GGA, Alexandria via LeMat-Bulk).

The value obtained for the calculated formation energy is -0.02 eV/atom. As for the total magnetization: 0.00 μB/atom. The density of states at the Fermi level is 3.1 states/eV per cell. Its total energy is -50.34 eV per formula unit.

The space group is P4/mmm (No. 123) and the conventional cell measures 4.115, 4.115 and 16.722 Å, with angles of 90.00, 90.00 and 90.00 degrees. Symmetry generates all atoms from Ag at (0.000, 0.000, 0.000), Ag at (0.000, 0.000, 0.248), Ag at (0.000, 0.000, 0.500), Ag at (0.000, 0.500, 0.121), Ag at (0.000, 0.500, 0.374), Pt at (0.500, 0.500, 0.000), Au at (0.500, 0.500, 0.247) and Au at (0.500, 0.500, 0.500).


No. 4
# Ag2Pt2Au7

An optimized crystal structure of Ag2Pt2Au7 (PBE-GGA, Alexandria via LeMat-Bulk).

The value obtained for the calculated formation energy is 0.10 eV/atom. As for the total magnetization: 0.00 μB/atom. The density of states at the Fermi level is 7.2 states/eV per cell. Its total energy is -39.67 eV per formula unit.

The space group is C2/m (No. 12) and the conventional cell measures 8.333, 9.589 and 5.553 Å, with angles of 90.00, 113.04 and 90.00 degrees. Symmetry generates all atoms from Ag at (0.000, 0.144, 0.000), Pt at (0.153, 0.500, 0.453), Au at (0.000, 0.000, 0.500), Au at (0.175, 0.500, 0.972) and Au at (0.181, 0.245, 0.697).


No. 5
# AgPtAu

An optimized crystal structure of AgPtAu (PBE-GGA, Alexandria via LeMat-Bulk).

The value obtained for the calculated formation energy is 0.31 eV/atom. As for the total magnetization: 0.00 μB/atom. The density of states at the Fermi level is 3.7 states/eV per cell. Its total energy is -11.23 eV per formula unit.

The space group is F-43m (No. 216) and the conventional cell measures 6.266, 6.266 and 6.266 Å, with angles of 90.00, 90.00 and 90.00 degrees. Symmetry generates all atoms from Ag at (0.000, 0.000, 0.000), Pt at (0.250, 0.250, 0.250) and Au at (0.000, 0.000, 0.500).


No. 6
# Ag5PtAu4

An optimized crystal structure of Ag5PtAu4 (PBE-GGA, Alexandria via LeMat-Bulk).

The value obtained for the calculated formation energy is 0.14 eV/atom. As for the total magnetization: 0.00 μB/atom. The density of states at the Fermi level is 6.7 states/eV per cell. Its total energy is -31.96 eV per formula unit.

The space group is Pmmn (No. 59, origin choice 2) and the conventional cell measures 8.934, 9.036 and 4.772 Å, with angles of 90.00, 90.00 and 90.00 degrees. Symmetry generates all atoms from Ag at (0.078, 0.011, 0.249), Ag at (0.250, 0.750, 0.272), Pt at (0.250, 0.250, 0.129), Au at (0.084, 0.250, 0.648) and Au at (0.250, 0.549, 0.758).


No. 7
# Pu4AgPtAu2

An optimized crystal structure of Pu4AgPtAu2 (PBE-GGA, Alexandria via LeMat-Bulk).

The value obtained for the calculated formation energy is -0.37 eV/atom. As for the total magnetization: 2.89 μB/atom. The density of states at the Fermi level is 108.8 states/eV per cell. Its total energy is -75.71 eV per formula unit.

The space group is R-3m (No. 166, hexagonal axes) and the conventional cell measures 5.1463, 5.1463 and 24.7982 Å, with angles of 90.00, 90.00 and 120.00 degrees. Symmetry generates all atoms from Pu at (0.0000, 0.0000, 0.1158), Pu at (0.0000, 0.0000, 0.3668), Ag at (0.0000, 0.0000, 0.5000), Pt at (0.0000, 0.0000, 0.0000) and Au at (0.0000, 0.0000, 0.2403).


No. 8
# PuAgPtAu

An optimized crystal structure of PuAgPtAu (PBE-GGA, Alexandria via LeMat-Bulk).

The value obtained for the calculated formation energy is -0.26 eV/atom. As for the total magnetization: 1.27 μB/atom. The density of states at the Fermi level is 51.6 states/eV per cell. Its total energy is -27.55 eV per formula unit.

The space group is F-43m (No. 216) and the conventional cell measures 6.854, 6.854 and 6.854 Å, with angles of 90.00, 90.00 and 90.00 degrees. Symmetry generates all atoms from Pu at (0.000, 0.000, 0.000), Ag at (0.250, 0.250, 0.250), Pt at (0.250, 0.250, 0.750) and Au at (0.000, 0.000, 0.500).


No. 9
# Ag2PtRhAu

An optimized crystal structure of Ag2PtRhAu (PBE-GGA, Alexandria via LeMat-Bulk).

The value obtained for the calculated formation energy is 1.03 eV/atom. As for the total magnetization: 0.00 μB/atom. The density of states at the Fermi level is 3.4 states/eV per cell. Its total energy is -17.20 eV per formula unit.

The space group is P4/mmm (No. 123) and the conventional cell measures 5.074, 5.074 and 4.704 Å, with angles of 90.00, 90.00 and 90.00 degrees. Symmetry generates all atoms from Ag at (0.000, 0.500, 0.000), Pt at (0.000, 0.000, 0.000), Rh at (0.000, 0.000, 0.500) and Au at (0.500, 0.500, 0.500).


No. 10
# Sc4AgPtAu2

An optimized crystal structure of Sc4AgPtAu2 (PBE-GGA, Alexandria via LeMat-Bulk).

The value obtained for the calculated formation energy is -0.80 eV/atom. As for the total magnetization: 0.00 μB/atom. The density of states at the Fermi level is 17.8 states/eV per cell. Its total energy is -47.14 eV per formula unit.

The space group is R-3m (No. 166, hexagonal axes) and the conventional cell measures 4.7775, 4.7775 and 23.5467 Å, with angles of 90.00, 90.00 and 120.00 degrees. Symmetry generates all atoms from Sc at (0.0000, 0.0000, 0.1199), Sc at (0.0000, 0.0000, 0.3707), Ag at (0.0000, 0.0000, 0.5000), Pt at (0.0000, 0.0000, 0.0000) and Au at (0.0000, 0.0000, 0.2427).


No. 11
# SiAgPt2Au

An optimized crystal structure of SiAgPt2Au (PBE-GGA, Alexandria via LeMat-Bulk).

As for the total magnetization: 0.00 μB/atom. The value obtained for the uncorrected formation energy is 1429 meV/atom. The density of states at the Fermi level is 3.3 states/eV per cell. Its total energy is -16.49 eV per formula unit.

The space group is P4/mmm (No. 123) and the conventional cell measures 4.928, 4.928 and 4.946 Å, with angles of 90.00, 90.00 and 90.00 degrees. Symmetry generates all atoms from Si at (0.000, 0.000, 0.000), Ag at (0.500, 0.500, 0.500), Pt at (0.000, 0.500, 0.500) and Au at (0.500, 0.500, 0.000).


No. 12
# SmAgPtAu

An optimized crystal structure of SmAgPtAu (PBE-GGA, Alexandria via LeMat-Bulk).

The value obtained for the calculated formation energy is -0.61 eV/atom. As for the total magnetization: 0.00 μB/atom. The density of states at the Fermi level is 5.8 states/eV per cell. Its total energy is -19.31 eV per formula unit.

The space group is F-43m (No. 216) and the conventional cell measures 6.915, 6.915 and 6.915 Å, with angles of 90.00, 90.00 and 90.00 degrees. Symmetry generates all atoms from Sm at (0.000, 0.000, 0.000), Ag at (0.000, 0.000, 0.500), Pt at (0.250, 0.250, 0.750) and Au at (0.250, 0.250, 0.250).


No. 13
# AgSnPtAu

An optimized crystal structure of AgSnPtAu (PBE-GGA, Alexandria via LeMat-Bulk).

The value obtained for the calculated formation energy is -0.11 eV/atom. As for the total magnetization: 0.00 μB/atom. The density of states at the Fermi level is 12.3 states/eV per cell. Its total energy is -16.61 eV per formula unit.

The space group is F-43m (No. 216) and the conventional cell measures 6.645, 6.645 and 6.645 Å, with angles of 90.00, 90.00 and 90.00 degrees. Symmetry generates all atoms from Ag at (0.000, 0.000, 0.000), Sn at (0.000, 0.000, 0.500), Pt at (0.250, 0.250, 0.750) and Au at (0.250, 0.250, 0.250).


No. 14
# Sr8AgPtAu2

An optimized crystal structure of Sr8AgPtAu2 (PBE-GGA, Alexandria via LeMat-Bulk).

The value obtained for the calculated formation energy is -0.50 eV/atom. As for the total magnetization: 0.00 μB/atom. The density of states at the Fermi level is 6.9 states/eV per cell. Its total energy is -34.91 eV per formula unit.

The space group is P2/m (No. 10) and the conventional cell measures 7.251, 9.133 and 7.534 Å, with angles of 90.00, 90.18 and 90.00 degrees. Symmetry generates all atoms from Sr at (0.233, 0.000, 0.336), Sr at (0.246, 0.500, 0.320), Sr at (0.266, 0.264, 0.831), Ag at (0.500, 0.000, 0.000), Pt at (0.500, 0.500, 0.000) and Au at (0.000, 0.255, 0.500).


No. 15
# Sr2AgPt2Au5

An optimized crystal structure of Sr2AgPt2Au5 (PBE-GGA, Alexandria via LeMat-Bulk).

The value obtained for the calculated formation energy is -0.45 eV/atom. As for the total magnetization: 0.00 μB/atom. The density of states at the Fermi level is 6.9 states/eV per cell. Its total energy is -39.14 eV per formula unit.

The space group is P4/mbm (No. 127) and the conventional cell measures 10.089, 10.089 and 4.186 Å, with angles of 90.00, 90.00 and 90.00 degrees. Symmetry generates all atoms from Sr at (0.174, 0.326, 0.000), Ag at (0.000, 0.000, 0.000), Pt at (0.125, 0.625, 0.000), Au at (0.000, 0.500, 0.500) and Au at (0.062, 0.802, 0.500).


No. 16
# Tl2AgPtAu

An optimized crystal structure of Tl2AgPtAu (PBE-GGA, Alexandria via LeMat-Bulk).

The value obtained for the calculated formation energy is 0.30 eV/atom. As for the total magnetization: 0.00 μB/atom. The density of states at the Fermi level is 2.1 states/eV per cell. Its total energy is -15.39 eV per formula unit.

The space group is P4/mmm (No. 123) and the conventional cell measures 5.248, 5.248 and 5.251 Å, with angles of 90.00, 90.00 and 90.00 degrees. Symmetry generates all atoms from Tl at (0.000, 0.500, 0.000), Ag at (0.000, 0.000, 0.500), Pt at (0.500, 0.500, 0.000) and Au at (0.500, 0.500, 0.500).


No. 17
# YAgPtAu

An optimized crystal structure of YAgPtAu (PBE-GGA, Alexandria via LeMat-Bulk).

The value obtained for the calculated formation energy is -0.65 eV/atom. As for the total magnetization: 0.00 μB/atom. The density of states at the Fermi level is 2.8 states/eV per cell. Its total energy is -21.23 eV per formula unit.

The space group is F-43m (No. 216) and the conventional cell measures 6.829, 6.829 and 6.829 Å, with angles of 90.00, 90.00 and 90.00 degrees. Symmetry generates all atoms from Y at (0.000, 0.000, 0.000), Ag at (0.000, 0.000, 0.500), Pt at (0.250, 0.250, 0.750) and Au at (0.250, 0.250, 0.250).


No. 18
# Zn5AgPt2Au2

An optimized crystal structure of Zn5AgPt2Au2 (PBE-GGA, Alexandria via LeMat-Bulk).

The value obtained for the calculated formation energy is -0.21 eV/atom. As for the total magnetization: 0.00 μB/atom. The density of states at the Fermi level is 5.4 states/eV per cell. Its total energy is -29.92 eV per formula unit.

The space group is P4/mbm (No. 127) and the conventional cell measures 9.525, 9.525 and 3.707 Å, with angles of 90.00, 90.00 and 90.00 degrees. Symmetry generates all atoms from Zn at (0.000, 0.500, 0.000), Zn at (0.106, 0.181, 0.000), Ag at (0.000, 0.000, 0.500), Pt at (0.130, 0.370, 0.500) and Au at (0.165, 0.665, 0.500).


No. 19
# Zn2AgPtAu

An optimized crystal structure of Zn2AgPtAu (PBE-GGA, Alexandria via LeMat-Bulk).

The value obtained for the calculated formation energy is 0.28 eV/atom. As for the total magnetization: 0.00 μB/atom. The density of states at the Fermi level is 1.9 states/eV per cell. Its total energy is -13.32 eV per formula unit.

The space group is P4/mmm (No. 123) and the conventional cell measures 4.744, 4.744 and 5.211 Å, with angles of 90.00, 90.00 and 90.00 degrees. Symmetry generates all atoms from Zn at (0.000, 0.500, 0.000), Ag at (0.000, 0.000, 0.500), Pt at (0.500, 0.500, 0.000) and Au at (0.500, 0.500, 0.500).


No. 20
# ZrAgPtAu

An optimized crystal structure of ZrAgPtAu (PBE-GGA, Alexandria via LeMat-Bulk).

The value obtained for the calculated formation energy is -0.50 eV/atom. As for the total magnetization: 0.00 μB/atom. The density of states at the Fermi level is 11.9 states/eV per cell. Its total energy is -22.70 eV per formula unit.

The space group is F-43m (No. 216) and the conventional cell measures 6.640, 6.640 and 6.640 Å, with angles of 90.00, 90.00 and 90.00 degrees. Symmetry generates all atoms from Zr at (0.000, 0.000, 0.000), Ag at (0.000, 0.000, 0.500), Pt at (0.250, 0.250, 0.250) and Au at (0.250, 0.250, 0.750).